Here is a relaxed Mn2ReGeN crystal from Alexandria. Energies are from PBE.

Properties
- electronic total energy (eV/atom) = -8.742

a b c (Å): 3.8547 3.8547 4.0443
angles (deg): 90.00 90.00 90.00
Fractional positions:
Re 0.0000 0.0000 0.5000
Ge 0.5000 0.5000 0.5000
Mn 0.0000 0.5000 0.0000
Mn 0.5000 0.0000 0.0000
N 0.0000 0.0000 0.0000

Here is a relaxed NdMgIn6 crystal from Alexandria. Energies are from PBE.

Properties
- calculated formation energy (eV/atom) = -0.20

a b c (Å): 4.4889 6.7776 6.7776
angles (deg): 89.11 90.00 90.00
Fractional positions:
Nd 0.5000 0.0000 0.0000
Mg 0.5000 0.5000 0.5000
In 0.0000 0.7382 0.2618
In 0.0000 0.2618 0.7382
In 0.0000 0.7412 0.7412
In 0.0000 0.2588 0.2588
In 0.5000 0.5000 0.0000
In 0.5000 0.0000 0.5000

Here is a relaxed PmPr2Dy9 crystal from Alexandria. Energies are from PBE.

Properties
- calculated formation energy (eV/atom) = 0.06

a b c (Å): 3.5148 11.3332 11.3332
angles (deg): 120.00 90.00 90.00
Fractional positions:
Pm 0.0000 0.0000 0.0000
Pr 0.0000 0.3333 0.6667
Pr 0.0000 0.6667 0.3333
Dy 0.0000 0.0000 0.5000
Dy 0.0000 0.5000 0.5000
Dy 0.0000 0.5000 0.0000
Dy 0.5000 0.3486 0.1743
Dy 0.5000 0.1743 0.8257
Dy 0.5000 0.1743 0.3486
Dy 0.5000 0.8257 0.6514
Dy 0.5000 0.8257 0.1743
Dy 0.5000 0.6514 0.8257

Here is a relaxed PrNi6Sn4 crystal from Alexandria. Energies are from PBE.

Properties
- calculated formation energy (eV/atom) = -0.27

a b c (Å): 4.1554 7.2343 7.2343
angles (deg): 120.00 90.00 90.00
Fractional positions:
Pr 0.0000 0.0000 0.0000
Ni 0.0000 0.5424 0.0848
Ni 0.5000 0.5780 0.7890
Ni 0.0000 0.5424 0.4576
Ni 0.0000 0.9152 0.4576
Ni 0.5000 0.2110 0.7890
Ni 0.5000 0.2110 0.4220
Sn 0.5000 0.8085 0.6169
Sn 0.5000 0.3831 0.1915
Sn 0.5000 0.8085 0.1915
Sn 0.0000 0.3333 0.6667